# BaSr4Fe5O10

BaSr4Fe5O10 after structural relaxation (PBEsol, Alexandria).

Cell and atoms, written as POSCAR:
```
BaSr4Fe5O10
1.0
5.263 0.000 0.000
0.000 3.840 0.000
-1.709 0.000 13.085
Ba Sr Fe O
1 4 5 10
Direct
0.000 0.000 0.000
0.199 0.000 0.403
0.419 0.000 0.797
0.581 0.000 0.203
0.801 0.000 0.597
0.077 0.500 0.210
0.301 0.500 0.601
0.500 0.500 0.000
0.699 0.500 0.399
0.923 0.500 0.790
0.000 0.500 0.500
0.081 0.000 0.210
0.224 0.500 0.890
0.302 0.000 0.600
0.389 0.500 0.304
0.500 0.000 0.000
0.611 0.500 0.696
0.698 0.000 0.400
0.776 0.500 0.110
0.919 0.000 0.790
```

Summary:
As for the relative energy among the computed polymorphs: 0.000 eV/f.u.